Entry from Alexandria via LeMat-Bulk: MgZnF3 after structural relaxation (PBE).

Space group: Pm-3m, No. 221
E (eV per atom): -4.129
ρ (g cm⁻³): 3.86
Raw formation energy (eV/atom): -2.432
Energy relative to the lowest polymorph listed for this composition (eV/f.u.): 0.000

a = 3.9807 Å, b = 3.9807 Å, c = 3.9807 Å
α = 90.00°, β = 90.00°, γ = 90.00°
Last column: nearest neighbours and their distance in Å.
Positions (direct):
Mg 0.0000 0.0000 0.0000  6 F 1.99
Zn 0.5000 0.5000 0.5000  12 F 2.81
F 0.0000 0.0000 0.5000  2 Mg 1.99
F 0.0000 0.5000 0.0000  2 Mg 1.99
F 0.5000 0.0000 0.0000  2 Mg 1.99